## Cr2OsCl (PBE)

Data for a relaxed Cr2OsCl crystal.

a b c (Å): 2.9414 2.8946 7.1900
angles (deg): 90.00 90.01 90.00
Last column: nearest neighbours and their distance in Å.
Space group Pm (No. 6)
Asymmetric unit:
Cr 0.0000 0.0000 0.0000 x1  4 Os 2.48, 4 Cr 2.59
Cr 0.4992 0.5000 0.7826 x1  2 Cl 2.46, 4 Cr 2.59
Os 0.4998 0.5000 0.1916 x1  4 Cr 2.48, 2 Cl 2.68
Cl 0.4980 0.0000 0.5057 x1  2 Cr 2.46, 2 Os 2.68

Properties
Formation energy (no corrections) in eV per atom: 0.316
M_tot in μB per atom: 0.61
Total energy in eV per atom: -7.77
Theoretical density in g/cm³: 8.9

---

## MgTe2AsI (PBE)

Data for a relaxed MgTe2AsI crystal.

a b c (Å): 5.5521 5.5521 5.3866
angles (deg): 90.00 90.00 90.00
Last column: nearest neighbours and their distance in Å.
Space group P4/mmm (No. 123)
Asymmetric unit:
Mg 0.0000 0.0000 0.0000 x1  2 I 2.69, 4 Te 2.78
Te 0.0000 0.5000 0.0000 x2  2 Mg 2.78
As 0.5000 0.5000 0.5000 x1  8 Te 3.87, 4 I 3.93
I 0.0000 0.0000 0.5000 x1  2 Mg 2.69

Properties
Formation energy (no corrections) in eV per atom: 0.411
M_tot in μB per atom: 0.18
Total energy in eV per atom: -2.40
Theoretical density in g/cm³: 4.8

---

## AcAlH2 (PBE)

Data for a relaxed AcAlH2 crystal.

a b c (Å): 4.2264 4.2264 14.0986
angles (deg): 90.00 90.00 120.00
Last column: nearest neighbours and their distance in Å.
Space group R-3m (No. 166, hexagonal axes)
Asymmetric unit:
Ac 0.0000 0.0000 0.0000 x3  6 H 2.47
Al 0.0000 0.0000 0.5000 x3  2 H 1.99
H 0.0000 0.0000 0.3590 x6  1 Al 1.99

Properties
M_tot in μB per atom: 0.00
Total energy in eV per atom: -3.80
Theoretical density in g/cm³: 5.8

---

## Cd2ReSi (PBE)

Data for a relaxed Cd2ReSi crystal.

a b c (Å): 2.8361 4.5572 5.4755
angles (deg): 90.00 90.00 90.00
Last column: nearest neighbours and their distance in Å.
Space group Pmmm (No. 47)
Asymmetric unit:
Cd 0.0000 0.0000 0.0000 x1  6 Cd 2.68-2.84
Cd 0.5000 0.5000 0.0000 x1  6 Cd 2.68-2.84
Re 0.0000 0.5000 0.5000 x1  4 Si 2.68, 2 Re 2.84
Si 0.5000 0.0000 0.5000 x1  4 Re 2.68, 2 Si 2.84

Properties
Formation energy (no corrections) in eV per atom: 0.566
M_tot in μB per atom: 0.00
Total energy in eV per atom: -4.36
Theoretical density in g/cm³: 10.3

---

## KNdO2 (PBE)

Data for a relaxed KNdO2 crystal.

a b c (Å): 3.6229 3.6229 19.4345
angles (deg): 90.00 90.00 120.00
Last column: nearest neighbours and their distance in Å.
Space group R3m (No. 160, hexagonal axes)
Asymmetric unit:
K 0.0000 0.0000 0.0000 x3  6 O 2.83-2.99
Nd 0.0000 0.0000 0.8288 x3  6 O 2.41-2.44
O 0.0000 0.0000 0.2237 x3  3 Nd 2.41
O 0.0000 0.0000 0.4312 x3  3 Nd 2.44

Properties
Formation energy (no corrections) in eV per atom: -2.563
M_tot in μB per atom: 0.00
Total energy in eV per atom: -6.51
Theoretical density in g/cm³: 4.9

---

## Cu2SiPd8 (PBE)

Data for a relaxed Cu2SiPd8 crystal.

a b c (Å): 14.0958 4.3974 5.6905
angles (deg): 90.00 111.05 90.00
Last column: nearest neighbours and their distance in Å.
Space group C2/m (No. 12)
Asymmetric unit:
Cu 0.1892 0.0000 0.1817 x4  9 Pd 2.59-2.77
Si 0.0000 0.5000 0.5000 x2  4 Pd 2.33-2.36
Pd 0.0125 0.0000 0.2573 x4  2 Si 2.64, 1 Cu 2.68, 8 Pd 2.81-2.91
Pd 0.1205 0.5000 0.9136 x4  1 Si 2.36
Pd 0.1494 0.5000 0.4125 x4  1 Si 2.33, 1 Cu 2.59
Pd 0.1822 0.0000 0.7153 x4  3 Cu 2.62-2.77, 8 Pd 2.72-2.83

Properties
Formation energy (no corrections) in eV per atom: -0.212
M_tot in μB per atom: 0.00
Total energy in eV per atom: -5.23
Theoretical density in g/cm³: 10.2

---

## HfTiAu2 (PBE)

Data for a relaxed HfTiAu2 crystal.

a b c (Å): 4.3300 4.3300 3.9326
angles (deg): 90.00 90.00 90.00
Last column: nearest neighbours and their distance in Å.
Space group P4/mmm (No. 123)
Asymmetric unit:
Hf 0.0000 0.0000 0.0000 x1  8 Au 2.92, 4 Ti 3.06
Ti 0.5000 0.5000 0.0000 x1  8 Au 2.92, 4 Hf 3.06
Au 0.0000 0.5000 0.5000 x2  4 Ti 2.92, 4 Hf 2.92, 4 Au 3.06

Properties
M_tot in μB per atom: 0.33
Calculated formation energy in meV per atom: -389
Total energy in eV per atom: -6.49
Theoretical density in g/cm³: 14.0

---

## ScAsCl2 (PBE)

Data for a relaxed ScAsCl2 crystal.

a b c (Å): 6.8706 6.8706 6.8706
angles (deg): 90.00 90.00 90.00
Last column: nearest neighbours and their distance in Å.
Space group F-43m (No. 216)
Asymmetric unit:
Sc 0.0000 0.0000 0.0000 x4  4 As 2.98, 4 Cl 2.98
As 0.2500 0.2500 0.2500 x4  4 Cl 2.98, 4 Sc 2.98
Cl 0.0000 0.0000 0.5000 x4  4 Cl 2.98, 4 As 2.98
Cl 0.2500 0.2500 0.7500 x4  4 Cl 2.98, 4 Sc 2.98

Properties
Formation energy (no corrections) in eV per atom: -0.427
M_tot in μB per atom: 0.00
Total energy in eV per atom: -4.10
Theoretical density in g/cm³: 3.9

---

## Tb6Tm12Tl (PBE)

Data for a relaxed Tb6Tm12Tl crystal.

a b c (Å): 11.7143 11.7143 14.7847
angles (deg): 90.00 90.00 120.00
Last column: nearest neighbours and their distance in Å.
Space group R-3 (No. 148, hexagonal axes)
Asymmetric unit:
Tb 0.0141 0.4244 0.1830 x18  7 Tm 3.25-3.60, 1 Tl 3.39, 2 Tb 3.41
Tm 0.0029 0.8269 0.6873 x18  4 Tb 3.36-3.60, 4 Tm 3.41-3.55, 1 Tl 3.44
Tm 0.0439 0.8507 0.9159 x18  6 Tm 3.23-3.56, 3 Tb 3.25-3.39
Tl 0.0000 0.0000 0.5000 x3  6 Tb 3.39, 6 Tm 3.44

Properties
M_tot in μB per atom: 0.00
Calculated formation energy in meV per atom: 92
Total energy in eV per atom: -4.32
Theoretical density in g/cm³: 9.0

---

## Li2OsCl (PBE)

Data for a relaxed Li2OsCl crystal.

a b c (Å): 5.1259 8.1530 2.7327
angles (deg): 90.00 90.00 90.00
Last column: nearest neighbours and their distance in Å.
Space group Cmmm (No. 65)
Asymmetric unit:
Li 0.2500 0.2500 0.0000 x4  4 Li 2.56-2.73, 4 Cl 2.77, 4 Os 2.77
Os 0.0000 0.0000 0.5000 x2  2 Cl 2.56, 2 Os 2.73, 8 Li 2.77
Cl 0.0000 0.5000 0.5000 x2  2 Os 2.56, 2 Cl 2.73, 8 Li 2.77

Properties
Formation energy (no corrections) in eV per atom: 0.141
M_tot in μB per atom: 0.00
Total energy in eV per atom: -4.08
Theoretical density in g/cm³: 7.0

---

## Sr2SbPb (PBE)

Data for a relaxed Sr2SbPb crystal.

a b c (Å): 4.2451 4.2451 29.3439
angles (deg): 90.00 90.00 120.00
Last column: nearest neighbours and their distance in Å.
Space group R-3m (No. 166, hexagonal axes)
Asymmetric unit:
Sr 0.0000 0.0000 0.2420 x6  3 Sb 3.30, 3 Pb 3.63
Sb 0.0000 0.0000 0.5000 x3  6 Sr 3.30
Pb 0.0000 0.0000 0.0000 x3  6 Sr 3.63

Properties
Formation energy (no corrections) in eV per atom: -0.546
M_tot in μB per atom: 0.00
Total energy in eV per atom: -3.34
Theoretical density in g/cm³: 5.5

---

## NbAg2F6 (PBE)

Data for a relaxed NbAg2F6 crystal.

a b c (Å): 5.3352 5.3352 11.0355
angles (deg): 90.00 90.00 90.00
Last column: nearest neighbours and their distance in Å.
Space group P4_2/mnm (No. 136)
Asymmetric unit:
Nb 0.0000 0.0000 0.0000 x2  6 F 1.96-2.04
Ag 0.0000 0.0000 0.3337 x4  6 F 2.44-2.58
F 0.1791 0.1791 0.1389 x8  1 Nb 2.04
F 0.2400 0.2400 0.5000 x4  1 Nb 1.96

Properties
Formation energy (no corrections) in eV per atom: -2.082
M_tot in μB per atom: 0.11
Total energy in eV per atom: -5.08
Theoretical density in g/cm³: 4.5

---

## Mn2RhPb (PBE)

Data for a relaxed Mn2RhPb crystal.

a b c (Å): 4.0238 4.0351 8.1685
angles (deg): 90.00 90.00 90.00
Last column: nearest neighbours and their distance in Å.
Space group Imm2 (No. 44)
Asymmetric unit:
Mn 0.0000 0.0000 0.0000 x2  4 Rh 2.85, 4 Mn 2.87, 4 Pb 2.87
Mn 0.0000 0.5000 0.2501 x2  4 Pb 2.85, 4 Mn 2.87, 4 Rh 2.87
Rh 0.0000 0.0000 0.5000 x2  8 Mn 2.85-2.87, 4 Pb 2.87
Pb 0.0000 0.5000 0.7500 x2  8 Mn 2.85-2.87, 4 Rh 2.87

Properties
M_tot in μB per atom: 1.91
Calculated formation energy in meV per atom: 201
Total energy in eV per atom: -7.15
Theoretical density in g/cm³: 10.5

---

## ThTl3Sb2O9 (PBE)

Data for a relaxed ThTl3Sb2O9 crystal.

a b c (Å): 5.9437 5.9437 7.4210
angles (deg): 90.00 90.00 120.00
Last column: nearest neighbours and their distance in Å.
Space group P-3m1 (No. 164)
Asymmetric unit:
Th 0.0000 0.0000 0.0000 x1  6 O 2.29
Tl 0.0000 0.0000 0.5000 x1  12 O 2.91-2.97
Tl 0.3333 0.6667 0.1755 x2  12 O 2.96-3.18
Sb 0.3333 0.6667 0.6566 x2  6 O 1.99-2.07
O 0.0000 0.5000 0.5000 x3  2 Sb 2.07
O 0.1744 0.3488 0.8081 x6  1 Sb 1.99

Properties
Formation energy (no corrections) in eV per atom: -1.545
M_tot in μB per atom: 0.00
Total energy in eV per atom: -6.04
Theoretical density in g/cm³: 9.0

---

## PmPrTmPb (PBE)

Data for a relaxed PmPrTmPb crystal.

a b c (Å): 7.9015 7.9015 7.9015
angles (deg): 90.00 90.00 90.00
Last column: nearest neighbours and their distance in Å.
Space group F-43m (No. 216)
Asymmetric unit:
Pm 0.0000 0.0000 0.0000 x4  4 Tm 3.42, 4 Pb 3.42
Pr 0.0000 0.0000 0.5000 x4  4 Pb 3.42, 4 Tm 3.42
Tm 0.2500 0.2500 0.2500 x4  4 Pr 3.42, 4 Pm 3.42
Pb 0.2500 0.2500 0.7500 x4  4 Pr 3.42, 4 Pm 3.42

Properties
M_tot in μB per atom: 0.00
Calculated formation energy in meV per atom: -149
Total energy in eV per atom: -4.58
Theoretical density in g/cm³: 8.9

---

## Er5PtRh2 (PBE)

Data for a relaxed Er5PtRh2 crystal.

a b c (Å): 7.3664 7.3664 13.6363
angles (deg): 90.00 90.00 90.00
Last column: nearest neighbours and their distance in Å.
Space group I4/mcm (No. 140)
Asymmetric unit:
Er 0.0000 0.0000 0.0000 x4  4 Rh 2.87
Er 0.1690 0.3310 0.1422 x16  3 Rh 2.82-2.97, 2 Pt 3.11
Pt 0.0000 0.0000 0.2500 x4  10 Er 3.11-3.41
Rh 0.1341 0.3659 0.5000 x8  1 Rh 2.79, 8 Er 2.82-2.97

Properties
M_tot in μB per atom: 0.00
Calculated formation energy in meV per atom: -859
Total energy in eV per atom: -6.30
Theoretical density in g/cm³: 11.1

---

## MnOsSe (PBE)

Data for a relaxed MnOsSe crystal.

a b c (Å): 2.8033 2.8033 5.6394
angles (deg): 90.00 90.00 90.00
Last column: nearest neighbours and their distance in Å.
Space group P4mm (No. 99)
Asymmetric unit:
Mn 0.0000 0.0000 0.0000 x1  4 Se 2.53, 4 Os 2.54, 4 Mn 2.80
Os 0.5000 0.5000 0.7182 x1  1 Se 2.48, 4 Mn 2.54
Se 0.5000 0.5000 0.2776 x1  1 Os 2.48, 4 Mn 2.53

Properties
Formation energy (no corrections) in eV per atom: 0.328
M_tot in μB per atom: 0.00
Total energy in eV per atom: -7.63
Theoretical density in g/cm³: 12.1

---

## Pm2InGe3Au4 (PBE)

Data for a relaxed Pm2InGe3Au4 crystal.

a b c (Å): 4.3291 4.3291 11.5277
angles (deg): 90.00 90.00 90.00
Last column: nearest neighbours and their distance in Å.
Space group P-4m2 (No. 115)
Asymmetric unit:
Pm 0.0000 0.5000 0.2239 x2  4 Ge 3.23, 8 Au 3.37-3.39
In 0.0000 0.0000 0.5000 x1  4 Au 2.77, 4 Ge 3.06
Ge 0.0000 0.5000 0.8662 x2  5 Au 2.49-2.66
Ge 0.5000 0.5000 0.5000 x1  4 Au 2.77, 4 In 3.06
Au 0.0000 0.0000 0.0000 x1  4 Ge 2.66
Au 0.0000 0.5000 0.6505 x2  3 Ge 2.49-2.77, 2 In 2.77
Au 0.5000 0.5000 0.0000 x1  4 Ge 2.66

Properties
M_tot in μB per atom: 0.00
Calculated formation energy in meV per atom: -542
Total energy in eV per atom: -4.46
Theoretical density in g/cm³: 10.8

---

## ZnAg2F (PBE)

Data for a relaxed ZnAg2F crystal.

a b c (Å): 6.8884 6.8884 5.5997
angles (deg): 90.00 90.00 90.00
Last column: nearest neighbours and their distance in Å.
Space group I-42d (No. 122)
Asymmetric unit:
Zn 0.0000 0.0000 0.0000 x4  4 Ag 2.65, 2 F 2.80
Ag 0.2256 0.2500 0.6250 x8  2 F 2.42, 2 Zn 2.65
F 0.0000 0.0000 0.5000 x4  4 Ag 2.42

Properties
Formation energy (no corrections) in eV per atom: -0.413
M_tot in μB per atom: 0.00
Total energy in eV per atom: -2.63
Theoretical density in g/cm³: 7.5

---

## BaGe3B (PBE)

Data for a relaxed BaGe3B crystal.

a b c (Å): 4.7537 4.7537 4.7537
angles (deg): 90.00 90.00 90.00
Last column: nearest neighbours and their distance in Å.
Space group Pm-3m (No. 221)
Asymmetric unit:
Ba 0.0000 0.0000 0.0000 x1  12 Ge 3.36
Ge 0.0000 0.5000 0.5000 x3  2 B 2.38
B 0.5000 0.5000 0.5000 x1  6 Ge 2.38

Properties
M_tot in μB per atom: 0.00
Calculated formation energy in meV per atom: 356
Total energy in eV per atom: -4.13
Theoretical density in g/cm³: 5.7